The following is a PBE-GGA calculation of a relaxed structure of Th3InRu, from the Alexandria database.

The structure in CIF format:
```
data_Th3InRu
_cell_length_a 5.425
_cell_length_b 5.425
_cell_length_c 5.425
_cell_angle_alpha 90.00
_cell_angle_beta 90.00
_cell_angle_gamma 90.00
_space_group_name_H-M_alt 'P m -3 m'
_space_group_IT_number 221
_space_group_name_Hall '-P 4 2 3'
loop_
_atom_site_label
_atom_site_type_symbol
_atom_site_fract_x
_atom_site_fract_y
_atom_site_fract_z
_atom_site_occupancy
Th1 Th 0.000 0.000 0.500 1
In1 In 0.500 0.500 0.500 1
Ru1 Ru 0.000 0.000 0.000 1
```

Summary:
Energy of formation in eV per atom: -0.167
Spin magnetization in μB per formula unit: 0.00
DFT total energy in eV/cell: -35.11
Energy relative to the lowest polymorph listed for this composition in eV/atom: 0.106



The following is a PBE-GGA calculation of a relaxed structure of Cs5TlH6, from the Alexandria database.

The structure in CIF format:
```
data_Cs5TlH6
_cell_length_a 7.583
_cell_length_b 13.132
_cell_length_c 7.560
_cell_angle_alpha 90.00
_cell_angle_beta 109.49
_cell_angle_gamma 90.00
_space_group_name_H-M_alt 'C 1 2/m 1'
_space_group_IT_number 12
loop_
_space_group_symop_operation_xyz
'x,y,z'
'-x,-y,-z'
'-x,y,-z'
'x,-y,z'
'x+1/2,y+1/2,z'
'-x+1/2,-y+1/2,-z'
'-x+1/2,y+1/2,-z'
'x+1/2,-y+1/2,z'
loop_
_atom_site_label
_atom_site_type_symbol
_atom_site_fract_x
_atom_site_fract_y
_atom_site_fract_z
_atom_site_occupancy
Cs1 Cs 0.000 0.000 0.000 1
Cs2 Cs 0.000 0.168 0.500 1
Cs3 Cs 0.000 0.337 0.000 1
Tl1 Tl 0.000 0.500 0.500 1
H1 H 0.233 0.500 0.263 1
H2 H 0.237 0.344 0.740 1
```

Summary:
Spin magnetization in μB per formula unit: 0.00
DFT total energy in eV/cell: -54.99



The following is a PBE-GGA calculation of a relaxed structure of MgCu4Ir, from the Alexandria database.

The structure in CIF format:
```
data_MgCu4Ir
_cell_length_a 6.828
_cell_length_b 6.828
_cell_length_c 6.828
_cell_angle_alpha 90.00
_cell_angle_beta 90.00
_cell_angle_gamma 90.00
_space_group_name_H-M_alt 'F -4 3 m'
_space_group_IT_number 216
_space_group_name_Hall 'F -4 2 3'
loop_
_atom_site_label
_atom_site_type_symbol
_atom_site_fract_x
_atom_site_fract_y
_atom_site_fract_z
_atom_site_occupancy
Mg1 Mg 0.000 0.000 0.000 1
Cu1 Cu 0.125 0.125 0.625 1
Ir1 Ir 0.250 0.250 0.250 1
```

Summary:
Energy of formation in eV per atom: -0.037
Spin magnetization in μB per formula unit: 0.00
DFT total energy in eV/cell: -108.26



The following is a PBE-GGA calculation of a relaxed structure of KSb2Se, from the Alexandria database.

The structure in CIF format:
```
data_KSb2Se
_cell_length_a 9.190
_cell_length_b 9.190
_cell_length_c 6.088
_cell_angle_alpha 90.00
_cell_angle_beta 90.00
_cell_angle_gamma 90.00
_space_group_name_H-M_alt 'I -4 2 d'
_space_group_IT_number 122
_space_group_name_Hall 'I -4 2bw'
loop_
_atom_site_label
_atom_site_type_symbol
_atom_site_fract_x
_atom_site_fract_y
_atom_site_fract_z
_atom_site_occupancy
K1 K 0.000 0.000 0.000 1
Sb1 Sb 0.196 0.250 0.625 1
Se1 Se 0.000 0.000 0.500 1
```

Summary:
Spin magnetization in μB per formula unit: 0.00
DFT total energy in eV/cell: -52.71
Energy relative to the elements, uncorrected in meV/atom: -87.5
Energy relative to the lowest polymorph listed for this composition in eV/atom: 0.269



The following is a PBE-GGA calculation of a relaxed structure of LiBiTe3Au, from the Alexandria database.

The structure in CIF format:
```
data_LiBiTe3Au
_cell_length_a 8.709
_cell_length_b 4.403
_cell_length_c 9.829
_cell_angle_alpha 90.00
_cell_angle_beta 107.70
_cell_angle_gamma 90.00
_space_group_name_H-M_alt 'P 1 21/m 1'
_space_group_IT_number 11
loop_
_space_group_symop_operation_xyz
'x,y,z'
'-x,-y,-z'
'-x,y+1/2,-z'
'x,-y+1/2,z'
loop_
_atom_site_label
_atom_site_type_symbol
_atom_site_fract_x
_atom_site_fract_y
_atom_site_fract_z
_atom_site_occupancy
Li1 Li 0.157 0.250 0.123 1
Bi1 Bi 0.325 0.750 0.816 1
Te1 Te 0.070 0.250 0.812 1
Te2 Te 0.219 0.250 0.431 1
Te3 Te 0.390 0.750 0.128 1
Au1 Au 0.404 0.750 0.493 1
```

Summary:
Spin magnetization in μB per formula unit: 0.00
DFT total energy in eV/cell: -40.40
Energy relative to the elements, uncorrected in meV/atom: -283.5



The following is a PBE-GGA calculation of a relaxed structure of CsLa2Mg2, from the Alexandria database.

The structure in CIF format:
```
data_CsLa2Mg2
_cell_length_a 10.247
_cell_length_b 10.247
_cell_length_c 3.640
_cell_angle_alpha 90.00
_cell_angle_beta 90.00
_cell_angle_gamma 90.00
_space_group_name_H-M_alt 'P 4/m b m'
_space_group_IT_number 127
_space_group_name_Hall '-P 4 2ab'
loop_
_atom_site_label
_atom_site_type_symbol
_atom_site_fract_x
_atom_site_fract_y
_atom_site_fract_z
_atom_site_occupancy
Cs1 Cs 0.000 0.000 0.000 1
La1 La 0.113 0.387 0.000 1
Mg1 Mg 0.173 0.673 0.500 1
```

Summary:
Energy of formation in eV per atom: 0.180
Spin magnetization in μB per formula unit: 0.00
DFT total energy in eV/cell: -26.00
Energy relative to the lowest polymorph listed for this composition in eV/atom: 0.000



The following is a PBE-GGA calculation of a relaxed structure of TlFeCu, from the Alexandria database.

The structure in CIF format:
```
data_TlFeCu
_cell_length_a 6.051
_cell_length_b 6.051
_cell_length_c 6.051
_cell_angle_alpha 90.00
_cell_angle_beta 90.00
_cell_angle_gamma 90.00
_space_group_name_H-M_alt 'F -4 3 m'
_space_group_IT_number 216
_space_group_name_Hall 'F -4 2 3'
loop_
_atom_site_label
_atom_site_type_symbol
_atom_site_fract_x
_atom_site_fract_y
_atom_site_fract_z
_atom_site_occupancy
Tl1 Tl 0.000 0.000 0.000 1
Fe1 Fe 0.000 0.000 0.500 1
Cu1 Cu 0.250 0.250 0.250 1
```

Summary:
Energy of formation in eV per atom: 0.616
Spin magnetization in μB per formula unit: 3.22
DFT total energy in eV/cell: -52.31
Energy relative to the lowest polymorph listed for this composition in eV/atom: 0.123



The following is a PBE-GGA calculation of a relaxed structure of Ca5CdGa4, from the Alexandria database.

The structure in CIF format:
```
data_Ca5CdGa4
_cell_length_a 3.724
_cell_length_b 3.724
_cell_length_c 18.316
_cell_angle_alpha 90.00
_cell_angle_beta 90.00
_cell_angle_gamma 90.00
_space_group_name_H-M_alt 'P 4/m m m'
_space_group_IT_number 123
_space_group_name_Hall '-P 4 2'
loop_
_atom_site_label
_atom_site_type_symbol
_atom_site_fract_x
_atom_site_fract_y
_atom_site_fract_z
_atom_site_occupancy
Ca1 Ca 0.000 0.000 0.000 1
Ca2 Ca 0.000 0.000 0.196 1
Ca3 Ca 0.000 0.000 0.391 1
Cd1 Cd 0.500 0.500 0.500 1
Ga1 Ga 0.500 0.500 0.099 1
Ga2 Ga 0.500 0.500 0.293 1
```

Summary:
Energy of formation in eV per atom: -0.425
Spin magnetization in μB per formula unit: 0.00
DFT total energy in eV/cell: -27.28



The following is a PBE-GGA calculation of a relaxed structure of CrRh, from the Alexandria database.

The structure in CIF format:
```
data_CrRh
_cell_length_a 3.727
_cell_length_b 3.727
_cell_length_c 7.487
_cell_angle_alpha 90.00
_cell_angle_beta 90.00
_cell_angle_gamma 90.00
_space_group_name_H-M_alt 'I 41/a m d'
_space_group_IT_number 141
loop_
_space_group_symop_operation_xyz
'x,y,z'
'-x,-y,-z'
'-y+1/4,x+3/4,z+1/4'
'y+1/4,-x+3/4,-z+1/4'
'-x+1/2,-y,z+1/2'
'x+1/2,y,-z+1/2'
'y+1/4,-x+1/4,z+3/4'
'-y+1/4,x+1/4,-z+3/4'
'x,-y,-z'
'-x,y,z'
'-y+1/4,-x+1/4,-z+3/4'
'y+1/4,x+1/4,z+3/4'
'-x+1/2,y,-z+1/2'
'x+1/2,-y,z+1/2'
'y+1/4,x+3/4,-z+1/4'
'-y+1/4,-x+3/4,z+1/4'
'x+1/2,y+1/2,z+1/2'
'-x+1/2,-y+1/2,-z+1/2'
'-y+3/4,x+1/4,z+3/4'
'y+3/4,-x+1/4,-z+3/4'
'-x,-y+1/2,z'
'x,y+1/2,-z'
'y+3/4,-x+3/4,z+1/4'
'-y+3/4,x+3/4,-z+1/4'
'x+1/2,-y+1/2,-z+1/2'
'-x+1/2,y+1/2,z+1/2'
'-y+3/4,-x+3/4,-z+1/4'
'y+3/4,x+3/4,z+1/4'
'-x,y+1/2,-z'
'x,-y+1/2,z'
'y+3/4,x+1/4,-z+3/4'
'-y+3/4,-x+1/4,z+3/4'
loop_
_atom_site_label
_atom_site_type_symbol
_atom_site_fract_x
_atom_site_fract_y
_atom_site_fract_z
_atom_site_occupancy
Cr1 Cr 0.000 0.250 0.375 1
Rh1 Rh 0.000 0.250 0.875 1
```

Summary:
Energy of formation in eV per atom: 0.013
Spin magnetization in μB per formula unit: 0.35
DFT total energy in eV/cell: -67.80



The following is a PBE-GGA calculation of a relaxed structure of AlGaTe2N, from the Alexandria database.

The structure in CIF format:
```
data_AlGaTe2N
_cell_length_a 5.856
_cell_length_b 5.856
_cell_length_c 3.486
_cell_angle_alpha 90.00
_cell_angle_beta 90.00
_cell_angle_gamma 90.00
_space_group_name_H-M_alt 'P 4/m m m'
_space_group_IT_number 123
_space_group_name_Hall '-P 4 2'
loop_
_atom_site_label
_atom_site_type_symbol
_atom_site_fract_x
_atom_site_fract_y
_atom_site_fract_z
_atom_site_occupancy
Al1 Al 0.000 0.000 0.000 1
Ga1 Ga 0.500 0.500 0.500 1
Te1 Te 0.000 0.500 0.500 1
N1 N 0.500 0.500 0.000 1
```

Summary:
Spin magnetization in μB per formula unit: 0.00
DFT total energy in eV/cell: -18.36
Energy relative to the elements, uncorrected in meV/atom: 603.8
Energy relative to the lowest polymorph listed for this composition in eV/atom: 0.433



The following is a PBE-GGA calculation of a relaxed structure of Tc2AgO, from the Alexandria database.

The structure in CIF format:
```
data_Tc2AgO
_cell_length_a 4.686
_cell_length_b 4.686
_cell_length_c 13.024
_cell_angle_alpha 90.00
_cell_angle_beta 90.00
_cell_angle_gamma 90.00
_space_group_name_H-M_alt 'I -4 2 d'
_space_group_IT_number 122
_space_group_name_Hall 'I -4 2bw'
loop_
_atom_site_label
_atom_site_type_symbol
_atom_site_fract_x
_atom_site_fract_y
_atom_site_fract_z
_atom_site_occupancy
Tc1 Tc 0.050 0.250 0.125 1
Ag1 Ag 0.000 0.000 0.500 1
O1 O 0.000 0.000 0.000 1
```

Summary:
Spin magnetization in μB per formula unit: 1.46
DFT total energy in eV/cell: -105.27
Energy relative to the elements, uncorrected in meV/atom: 556.1



The following is a PBE-GGA calculation of a relaxed structure of Ac3HfGe4, from the Alexandria database.

The structure in CIF format:
```
data_Ac3HfGe4
_cell_length_a 6.084
_cell_length_b 12.548
_cell_length_c 6.286
_cell_angle_alpha 90.00
_cell_angle_beta 90.00
_cell_angle_gamma 90.00
_space_group_name_H-M_alt 'P m m n'
_space_group_IT_number 59
loop_
_space_group_symop_operation_xyz
'x,y,z'
'-x,-y,-z'
'-x+1/2,-y+1/2,z'
'x+1/2,y+1/2,-z'
'x+1/2,-y,-z'
'-x+1/2,y,z'
'-x,y+1/2,-z'
'x,-y+1/2,z'
loop_
_atom_site_label
_atom_site_type_symbol
_atom_site_fract_x
_atom_site_fract_y
_atom_site_fract_z
_atom_site_occupancy
Ac1 Ac 0.250 0.001 0.221 1
Ac2 Ac 0.250 0.750 0.700 1
Hf1 Hf 0.250 0.250 0.768 1
Ge1 Ge 0.250 0.035 0.711 1
Ge2 Ge 0.250 0.250 0.217 1
Ge3 Ge 0.250 0.750 0.201 1
```

Summary:
Energy of formation in eV per atom: -0.443
Spin magnetization in μB per formula unit: 0.00
DFT total energy in eV/cell: -88.59



The following is a PBE-GGA calculation of a relaxed structure of HgTeH3, from the Alexandria database.

The structure in CIF format:
```
data_HgTeH3
_cell_length_a 4.041
_cell_length_b 4.041
_cell_length_c 4.041
_cell_angle_alpha 90.00
_cell_angle_beta 90.00
_cell_angle_gamma 90.00
_space_group_name_H-M_alt 'P m -3 m'
_space_group_IT_number 221
_space_group_name_Hall '-P 4 2 3'
loop_
_atom_site_label
_atom_site_type_symbol
_atom_site_fract_x
_atom_site_fract_y
_atom_site_fract_z
_atom_site_occupancy
Hg1 Hg 0.000 0.000 0.000 1
Te1 Te 0.500 0.500 0.500 1
H1 H 0.000 0.000 0.500 1
```

Summary:
Spin magnetization in μB per formula unit: 0.00
DFT total energy in eV/cell: -9.02
Energy relative to the lowest polymorph listed for this composition in eV/atom: 0.605